BaMg2In, relaxed, DFT GGA-PBEsol; VASP energy = -2.2487 eV per atom; E_form = -0.11 eV/atom; mass density = 4.2 g/cm³; SG = P2/m, No. 10
1.0
-1.5867 -2.7531 1.6774
2.1401 -3.2288 -3.2751
5.7536 0.3748 3.3902
Ba In Mg
1 1 2
Cartesian
0.2767 -2.9909 -0.7989 Ba
3.9468 -1.4270 0.0576 In
2.7164 -2.0799 3.8255 Mg
1.4505 -0.2984 1.2420 Mg